VASP calculation (PBE) on a relaxed structure of RbHg8Pb2.

Calculated values
- E_form: -0.060 eV per atom
- SG: C2/m, No. 12
- Volume: 339 Å³/cell
- N(E_F): 4.9 states/eV per cell

abc: 6.7814 6.2385 9.1296
angles: 72.52 68.20 90.00
Atoms (fractional coordinates):
Rb  0.0000  0.0000  0.0000
Hg  0.8372  0.5675  0.8150
Hg  0.6522  0.4325  0.1850
Hg  0.7847  0.0095  0.4306
Hg  0.2153  0.9905  0.5694
Hg  0.3478  0.5675  0.8150
Hg  0.1628  0.4325  0.1850
Hg  0.5946  0.0125  0.8107
Hg  0.4054  0.9875  0.1893
Pb  0.7474  0.4935  0.5051
Pb  0.2526  0.5065  0.4949

=====

VASP calculation (PBE) on a relaxed structure of SrNd4Rh4.

Calculated values
- E_form: -0.490 eV per atom
- SG: P4_2/n, No. 86
- Volume: 493 Å³/cell
- N(E_F): 6.6 states/eV per cell

abc: 5.7498 9.2643 9.2643
angles: 90.00 90.00 90.00
Atoms (fractional coordinates):
Sr  0.0000  0.0000  0.0000
Sr  0.5000  0.5000  0.5000
Nd  0.4164  0.3265  0.9032
Nd  0.9164  0.5968  0.8265
Nd  0.4164  0.6735  0.0968
Nd  0.0836  0.1735  0.5968
Nd  0.5836  0.9032  0.6735
Nd  0.0836  0.8265  0.4032
Nd  0.9164  0.4032  0.1735
Nd  0.5836  0.0968  0.3265
Rh  0.5882  0.7962  0.3656
Rh  0.5882  0.2038  0.6344
Rh  0.0882  0.8656  0.7038
Rh  0.9118  0.2962  0.8656
Rh  0.9118  0.7038  0.1344
Rh  0.4118  0.3656  0.2038
Rh  0.4118  0.6344  0.7962
Rh  0.0882  0.1344  0.2962

=====

VASP calculation (PBE) on a relaxed structure of CaP2PdO8.

Calculated values
- SG: P-3, No. 147
- Volume: 145 Å³/cell
- ΔE_f (raw): -1885 meV per atom
- N(E_F): 0.0 states/eV per cell

abc: 4.8092 4.8092 7.2281
angles: 90.00 90.00 120.00
Atoms (fractional coordinates):
Ca  0.0000  0.0000  0.0000
P  0.6667  0.3333  0.2568
P  0.3333  0.6667  0.7432
Pd  0.0000  0.0000  0.5000
O  0.3333  0.6667  0.9543
O  0.3378  0.2954  0.3186
O  0.7046  0.0423  0.3186
O  0.6667  0.3333  0.0457
O  0.2954  0.9577  0.6814
O  0.6622  0.7046  0.6814
O  0.0423  0.3378  0.6814
O  0.9577  0.6622  0.3186

=====

Copy entry 3 word for word.
VASP calculation (PBE) on a relaxed structure of CaP2PdO8.

Calculated values
- SG: P-3, No. 147
- Volume: 145 Å³/cell
- ΔE_f (raw): -1885 meV per atom
- N(E_F): 0.0 states/eV per cell

abc: 4.8092 4.8092 7.2281
angles: 90.00 90.00 120.00
Atoms (fractional coordinates):
Ca  0.0000  0.0000  0.0000
P  0.6667  0.3333  0.2568
P  0.3333  0.6667  0.7432
Pd  0.0000  0.0000  0.5000
O  0.3333  0.6667  0.9543
O  0.3378  0.2954  0.3186
O  0.7046  0.0423  0.3186
O  0.6667  0.3333  0.0457
O  0.2954  0.9577  0.6814
O  0.6622  0.7046  0.6814
O  0.0423  0.3378  0.6814
O  0.9577  0.6622  0.3186

=====

Question: Among the records above, which one has the highest N(E_F)?
Answer: SrNd4Rh4